(1)
DFT (GGA-PBE) results for a relaxed structure of Pm3Al3Zn8.

Values from the calculation:
- Energy relative to the elements: -0.371 eV per atom
- M_tot: 0.00 Bohr magnetons per cell

abc: 8.2996 8.2996 8.2996
angles: 149.72 109.29 78.82
Closest atoms and distances in Å follow each position.
Positions (direct):
Pm 0.0000 0.0000 0.0000  12 Zn 3.19-3.27, 4 Al 3.53
Pm 0.3056 0.3056 0.0000  10 Zn 3.11-3.40, 4 Al 3.20-3.30
Pm 0.6944 0.6944 0.0000  10 Zn 3.11-3.40, 4 Al 3.20-3.30
Al 0.2903 0.5000 0.7903  6 Zn 2.57-2.81
Al 0.5000 0.0000 0.5000  4 Zn 2.80, 4 Al 2.96
Al 0.7097 0.5000 0.2097  6 Zn 2.57-2.81
Zn 0.0296 0.6625 0.3670  4 Zn 2.55-2.70, 1 Al 2.57
Zn 0.1364 0.8612 0.2752  3 Zn 2.58-2.70, 3 Al 2.80-2.81
Zn 0.2955 0.6625 0.6330  4 Zn 2.55-2.70, 1 Al 2.57
Zn 0.4141 0.1388 0.2752  3 Zn 2.58-2.70, 3 Al 2.80-2.81
Zn 0.5859 0.8612 0.7248  3 Zn 2.58-2.70, 3 Al 2.80-2.81
Zn 0.7045 0.3375 0.3670  4 Zn 2.55-2.70, 1 Al 2.57
Zn 0.8636 0.1388 0.7248  3 Zn 2.58-2.70, 3 Al 2.80-2.81
Zn 0.9704 0.3375 0.6330  4 Zn 2.55-2.70, 1 Al 2.57

---

(2)
DFT (GGA-PBE) results for a relaxed structure of Pm3Al4Zn4.

Values from the calculation:
- Energy relative to the elements: -0.414 eV per atom
- Relative energy among the computed polymorphs: 0.000 eV per formula unit
- M_tot: 0.00 Bohr magnetons per cell

abc: 13.6442 13.6442 3.9595
angles: 98.33 98.33 18.51
Closest atoms and distances in Å follow each position.
Positions (direct):
Pm 0.0000 0.0000 0.0000  4 Al 3.22, 8 Zn 3.22
Pm 0.3522 0.3522 0.8520  6 Zn 3.17-3.32, 6 Al 3.26-3.31
Pm 0.6478 0.6478 0.1480  6 Zn 3.17-3.32, 6 Al 3.26-3.31
Al 0.0953 0.0953 0.5937  3 Zn 2.53-2.54
Al 0.2527 0.2527 0.2527  4 Zn 2.58-2.66
Al 0.7473 0.7473 0.7473  4 Zn 2.58-2.66
Al 0.9047 0.9047 0.4063  3 Zn 2.53-2.54
Zn 0.1907 0.1907 0.6902  5 Al 2.54-2.66
Zn 0.4520 0.4520 0.4528  2 Al 2.53, 1 Zn 2.56
Zn 0.5480 0.5480 0.5472  2 Al 2.53, 1 Zn 2.56
Zn 0.8093 0.8093 0.3098  5 Al 2.54-2.66

---

(3)
DFT (GGA-PBE) results for a relaxed structure of Pm2AlZn5.

Values from the calculation:
- Energy relative to the elements: -0.216 eV per atom
- Relative energy among the computed polymorphs: 1.165 eV per formula unit
- M_tot: 0.00 Bohr magnetons per cell

abc: 6.0298 6.0298 6.0298
angles: 115.60 115.60 97.81
Closest atoms and distances in Å follow each position.
Positions (direct):
Pm 0.0000 0.5000 0.5000  10 Zn 3.03-3.24, 2 Al 3.24
Pm 0.5000 0.0000 0.5000  10 Zn 3.03-3.24, 2 Al 3.24
Al 0.4430 0.4430 0.0000  9 Zn 3.02-3.12, 4 Pm 3.24
Zn 0.0509 0.0509 0.0000  8 Zn 3.05-3.07, 1 Al 3.11, 4 Pm 3.24
Zn 0.5379 0.5379 0.5739  4 Zn 2.74-3.07, 1 Al 3.02, 4 Pm 3.03-3.04
Zn 0.5379 0.9641 0.0000  4 Zn 2.74-3.07, 1 Al 3.02, 4 Pm 3.03-3.04
Zn 0.9641 0.5379 0.0000  4 Zn 2.74-3.07, 1 Al 3.02, 4 Pm 3.03-3.04
Zn 0.9641 0.9641 0.4261  4 Zn 2.74-3.07, 1 Al 3.02, 4 Pm 3.03-3.04

---

(4)
DFT (GGA-PBE) results for a relaxed structure of PmAl2Zn10.

Values from the calculation:
- Energy relative to the elements: -0.168 eV per atom
- M_tot: 0.00 Bohr magnetons per cell

abc: 8.8621 6.8378 6.8173
angles: 80.93 49.63 49.43
Closest atoms and distances in Å follow each position.
Positions (direct):
Pm 0.0000 0.0000 0.0000  16 Zn 3.15-3.42, 4 Al 3.41
Al 0.0000 0.0000 0.5000  8 Zn 2.63-2.77, 2 Al 2.71
Al 0.5000 0.5000 0.0000  8 Zn 2.63-2.77, 2 Al 2.71
Zn 0.0004 0.3553 0.6447  5 Zn 2.56-2.83, 2 Al 2.77
Zn 0.0000 0.5000 0.0000  10 Zn 2.60-2.75
Zn 0.9996 0.6447 0.3553  5 Zn 2.56-2.83, 2 Al 2.77
Zn 0.2834 0.4978 0.5022  6 Zn 2.60-2.83, 2 Al 2.63
Zn 0.3553 0.0004 0.9996  5 Zn 2.56-2.83, 2 Al 2.77
Zn 0.4978 0.2834 0.7166  6 Zn 2.60-2.83, 2 Al 2.63
Zn 0.5000 0.0000 0.5000  10 Zn 2.60-2.75
Zn 0.5022 0.7166 0.2834  6 Zn 2.60-2.83, 2 Al 2.63
Zn 0.6447 0.9996 0.0004  5 Zn 2.56-2.83, 2 Al 2.77
Zn 0.7166 0.5022 0.4978  6 Zn 2.60-2.83, 2 Al 2.63

---

(5)
DFT (GGA-PBE) results for a relaxed structure of Pm2Al5Zn3.

Values from the calculation:
- Energy relative to the elements: -0.374 eV per atom
- Relative energy among the computed polymorphs: 0.371 eV per formula unit
- M_tot: 0.00 Bohr magnetons per cell

abc: 4.2132 4.2132 11.0293
angles: 90.00 90.00 90.00
Closest atoms and distances in Å follow each position.
Positions (direct):
Pm 0.0000 0.5000 0.2501  10 Al 3.19-3.47, 6 Zn 3.25-3.47
Pm 0.5000 0.0000 0.7499  10 Al 3.19-3.47, 6 Zn 3.25-3.47
Al 0.0000 0.0000 0.0000  4 Al 2.66
Al 0.0000 0.0000 0.5000  4 Zn 2.56
Al 0.0000 0.5000 0.8534  1 Zn 2.44, 4 Al 2.66
Al 0.5000 0.0000 0.1466  1 Zn 2.44, 4 Al 2.66
Al 0.5000 0.5000 0.0000  4 Al 2.66
Zn 0.0000 0.5000 0.6319  3 Al 2.44-2.56, 2 Zn 2.56
Zn 0.5000 0.0000 0.3681  3 Al 2.44-2.56, 2 Zn 2.56
Zn 0.5000 0.5000 0.5000  4 Zn 2.56

---

(6)
DFT (GGA-PBE) results for a relaxed structure of Pm3Al3Zn2.

Values from the calculation:
- Energy relative to the elements: -0.418 eV per atom
- M_tot: 0.00 Bohr magnetons per cell

abc: 5.8388 5.8388 15.0556
angles: 90.00 90.00 134.00
Closest atoms and distances in Å follow each position.
Positions (direct):
Pm 0.0953 0.9047 0.6098  4 Zn 3.16-3.34, 7 Al 3.19-3.39
Pm 0.0953 0.9047 0.8902  4 Zn 3.16-3.34, 7 Al 3.19-3.39
Pm 0.3724 0.6276 0.7500  5 Al 3.16-3.21, 4 Zn 3.32
Pm 0.6276 0.3724 0.2500  5 Al 3.16-3.21, 4 Zn 3.32
Pm 0.9047 0.0953 0.1098  4 Zn 3.16-3.34, 7 Al 3.19-3.39
Pm 0.9047 0.0953 0.3902  4 Zn 3.16-3.34, 7 Al 3.19-3.39
Al 0.3306 0.6694 0.2500  2 Zn 2.67
Al 0.3855 0.6145 0.5373  3 Zn 2.63-2.84, 1 Al 2.71
Al 0.3855 0.6145 0.9627  3 Zn 2.63-2.84, 1 Al 2.71
Al 0.6145 0.3855 0.0373  3 Zn 2.63-2.84, 1 Al 2.71
Al 0.6145 0.3855 0.4627  3 Zn 2.63-2.84, 1 Al 2.71
Al 0.6694 0.3306 0.7500  2 Zn 2.67
Zn 0.2021 0.7979 0.0984  4 Al 2.63-2.84
Zn 0.2021 0.7979 0.4016  4 Al 2.63-2.84
Zn 0.7979 0.2021 0.5984  4 Al 2.63-2.84
Zn 0.7979 0.2021 0.9016  4 Al 2.63-2.84

---

(7)
DFT (GGA-PBE) results for a relaxed structure of Pm5Al2Zn.

Values from the calculation:
- Energy relative to the elements: -0.222 eV per atom
- M_tot: 0.00 Bohr magnetons per cell

abc: 9.3672 9.3672 9.3672
angles: 131.00 131.00 71.81
Closest atoms and distances in Å follow each position.
Positions (direct):
Pm 0.0000 0.0000 0.0000  4 Al 3.11
Pm 0.0239 0.5239 0.8464  3 Al 3.22-3.23, 2 Zn 3.25, 1 Pm 3.49
Pm 0.1775 0.0239 0.5000  3 Al 3.22-3.23, 2 Zn 3.25, 1 Pm 3.49
Pm 0.3225 0.8225 0.8464  3 Al 3.22-3.23, 2 Zn 3.25, 1 Pm 3.49
Pm 0.4761 0.3225 0.5000  3 Al 3.22-3.23, 2 Zn 3.25, 1 Pm 3.49
Pm 0.5000 0.5000 0.0000  4 Al 3.11
Pm 0.5239 0.6775 0.5000  3 Al 3.22-3.23, 2 Zn 3.25, 1 Pm 3.49
Pm 0.6775 0.1775 0.1536  3 Al 3.22-3.23, 2 Zn 3.25, 1 Pm 3.49
Pm 0.8225 0.9761 0.5000  3 Al 3.22-3.23, 2 Zn 3.25, 1 Pm 3.49
Pm 0.9761 0.4761 0.1536  3 Al 3.22-3.23, 2 Zn 3.25, 1 Pm 3.49
Al 0.1179 0.3821 0.5000  1 Al 2.59
Al 0.3821 0.8821 0.2641  1 Al 2.59
Al 0.6179 0.1179 0.7359  1 Al 2.59
Al 0.8821 0.6179 0.5000  1 Al 2.59
Zn 0.2500 0.2500 0.0000  8 Pm 3.25
Zn 0.7500 0.7500 0.0000  8 Pm 3.25

---

(8)
DFT (GGA-PBE) results for a relaxed structure of PmZrAlZn.

Values from the calculation:
- Energy relative to the elements: -0.266 eV per atom
- M_tot: 0.00 Bohr magnetons per cell

abc: 4.9750 4.9750 4.9750
angles: 60.00 60.00 60.00
Closest atoms and distances in Å follow each position.
Positions (direct):
Pm 0.0000 0.0000 0.0000  4 Al 3.05, 4 Zn 3.05
Zr 0.5000 0.5000 0.5000  4 Al 3.05, 4 Zn 3.05
Al 0.7500 0.7500 0.7500  4 Zr 3.05, 4 Pm 3.05
Zn 0.2500 0.2500 0.2500  4 Zr 3.05, 4 Pm 3.05

---

(9)
DFT (GGA-PBE) results for a relaxed structure of PmZr2Al6.

Values from the calculation:
- Energy relative to the elements: -0.424 eV per atom
- M_tot: 0.00 Bohr magnetons per cell

abc: 7.7445 7.7445 3.3692
angles: 90.00 90.00 120.00
Closest atoms and distances in Å follow each position.
Positions (direct):
Pm 0.0000 0.0000 0.0000  12 Al 3.11, 2 Pm 3.37
Zr 0.3333 0.6667 0.0000  12 Al 3.07, 2 Zr 3.37
Zr 0.6667 0.3333 0.0000  12 Al 3.07, 2 Zr 3.37
Al 0.0000 0.3378 0.5000  3 Al 2.51-2.62
Al 0.0000 0.6622 0.5000  3 Al 2.51-2.62
Al 0.3378 0.0000 0.5000  3 Al 2.51-2.62
Al 0.3378 0.3378 0.5000  3 Al 2.51-2.62
Al 0.6622 0.0000 0.5000  3 Al 2.51-2.62
Al 0.6622 0.6622 0.5000  3 Al 2.51-2.62

---

(10)
DFT (GGA-PBE) results for a relaxed structure of Pr5Al2.

Values from the calculation:
- Energy relative to the elements: -0.173 eV per atom
- M_tot: 0.00 Bohr magnetons per cell

abc: 9.3048 9.3048 9.3048
angles: 127.75 69.99 136.88
Closest atoms and distances in Å follow each position.
Positions (direct):
Pr 0.0109 0.2500 0.7609  4 Al 3.27-3.30, 5 Pr 3.42-3.65
Pr 0.0815 0.6605 0.7420  4 Al 3.21-3.53, 4 Pr 3.48-3.49
Pr 0.2500 0.2500 0.0000  4 Al 3.37, 8 Pr 3.42-3.65
Pr 0.4185 0.1605 0.5790  4 Al 3.21-3.53, 4 Pr 3.48-3.49
Pr 0.4891 0.2500 0.2391  4 Al 3.27-3.30, 5 Pr 3.42-3.65
Pr 0.5109 0.7500 0.7609  4 Al 3.27-3.30, 5 Pr 3.42-3.65
Pr 0.5815 0.8395 0.4210  4 Al 3.21-3.53, 4 Pr 3.48-3.49
Pr 0.7500 0.7500 0.0000  4 Al 3.37, 8 Pr 3.42-3.65
Pr 0.9185 0.3395 0.2580  4 Al 3.21-3.53, 4 Pr 3.48-3.49
Pr 0.9891 0.7500 0.2391  4 Al 3.27-3.30, 5 Pr 3.42-3.65
Al 0.1251 0.2665 0.3915  10 Pr 3.21-3.53
Al 0.3749 0.7665 0.1414  10 Pr 3.21-3.53
Al 0.6251 0.2335 0.8586  10 Pr 3.21-3.53
Al 0.8749 0.7335 0.6085  10 Pr 3.21-3.53